1.
# PBE Be3PRh, optimized geometry
data_Be3PRh
_chemical_formula_sum 'Be3 P1 Rh1'
_space_group_name_H-M_alt 'P 1'
_space_group_IT_number 1
_space_group_name_Hall 'P 1'
_cell_length_a 4.1517
_cell_length_b 4.1517
_cell_length_c 4.1517
_cell_angle_alpha 90.00
_cell_angle_beta 90.00
_cell_angle_gamma 90.00
loop_
_atom_site_label
_atom_site_fract_x
_atom_site_fract_y
_atom_site_fract_z
Be1 0.0000 0.0000 0.5000
Be2 0.5000 0.0000 0.0000
Be3 0.0000 0.5000 0.0000
Rh1 0.0000 0.0000 0.0000
P1 0.5000 0.5000 0.5000
# SG	Pm-3m
# energy relative to the lowest polymorph listed for this composition	44	meV/atom
# spin magnetization	0.000	μB per atom
# volume	14.31	Å³ per atom
# energy	-4.17	eV per atom
# energy of formation	59.6	kJ per mole of atoms

2.
# PBE Tm2SiN, optimized geometry
data_Tm2SiN
_chemical_formula_sum 'Tm2 Si1 N1'
_space_group_name_H-M_alt 'P 1'
_space_group_IT_number 1
_space_group_name_Hall 'P 1'
_cell_length_a 3.4666
_cell_length_b 3.4666
_cell_length_c 7.1634
_cell_angle_alpha 76.00
_cell_angle_beta 76.00
_cell_angle_gamma 60.00
loop_
_atom_site_label
_atom_site_fract_x
_atom_site_fract_y
_atom_site_fract_z
Tm1 0.2313 0.2313 0.3060
Si1 0.0000 0.0000 0.0000
Tm2 0.7687 0.7687 0.6940
N1 0.5000 0.5000 0.5000
# SG	R-3m
# spin magnetization	0.000	μB per atom
# volume	17.90	Å³ per atom
# energy	-6.79	eV per atom
# uncorrected formation energy	-1.119	eV per atom

3.
# PBE CaYPb2, optimized geometry
data_CaYPb2
_chemical_formula_sum 'Ca1 Y1 Pb2'
_space_group_name_H-M_alt 'P 1'
_space_group_IT_number 1
_space_group_name_Hall 'P 1'
_cell_length_a 6.5859
_cell_length_b 6.5859
_cell_length_c 4.8903
_cell_angle_alpha 68.20
_cell_angle_beta 68.20
_cell_angle_gamma 37.32
loop_
_atom_site_label
_atom_site_fract_x
_atom_site_fract_y
_atom_site_fract_z
Y1 0.5014 0.5014 0.4987
Pb1 0.7347 0.7347 0.7651
Pb2 0.0083 0.0083 0.9920
Ca1 0.2556 0.2556 0.2442
# SG	Imm2
# spin magnetization	0.000	μB per atom
# volume	29.58	Å³ per atom
# energy	-4.43	eV per atom
# energy of formation	-44.5	kJ per mole of atoms

4.
# PBE Ir2PdICl, optimized geometry
data_Ir2PdICl
_chemical_formula_sum 'Ir2 Pd1 I1 Cl1'
_space_group_name_H-M_alt 'P 1'
_space_group_IT_number 1
_space_group_name_Hall 'P 1'
_cell_length_a 4.9848
_cell_length_b 5.0557
_cell_length_c 4.9848
_cell_angle_alpha 90.00
_cell_angle_beta 90.00
_cell_angle_gamma 90.00
loop_
_atom_site_label
_atom_site_fract_x
_atom_site_fract_y
_atom_site_fract_z
Ir1 0.0000 0.0000 0.5000
Pd1 0.0000 0.5000 0.0000
Cl1 0.5000 0.5000 0.5000
Ir2 0.5000 0.0000 0.0000
I1 0.0000 0.0000 0.0000
# SG	P4/mmm
# energy relative to the lowest polymorph listed for this composition	301	meV/atom
# spin magnetization	0.583	μB per atom
# volume	25.13	Å³ per atom
# energy	-3.59	eV per atom
# uncorrected formation energy	1.672	eV per atom

5.
# PBE SrGa2Pt2, optimized geometry
data_SrGa2Pt2
_chemical_formula_sum 'Sr2 Ga4 Pt4'
_space_group_name_H-M_alt 'P 1'
_space_group_IT_number 1
_space_group_name_Hall 'P 1'
_cell_length_a 7.9976
_cell_length_b 7.9976
_cell_length_c 2.9029
_cell_angle_alpha 90.00
_cell_angle_beta 90.00
_cell_angle_gamma 90.00
loop_
_atom_site_label
_atom_site_fract_x
_atom_site_fract_y
_atom_site_fract_z
Ga1 0.1398 0.6398 0.5000
Pt1 0.1509 0.3491 0.0000
Sr1 0.5000 0.5000 0.0000
Ga2 0.6398 0.8602 0.5000
Pt2 0.8491 0.6509 0.0000
Sr2 0.0000 0.0000 0.0000
Ga3 0.3602 0.1398 0.5000
Pt3 0.6509 0.1509 0.0000
Ga4 0.8602 0.3602 0.5000
Pt4 0.3491 0.8491 0.0000
# SG	P4/mbm
# spin magnetization	0.000	μB per atom
# volume	18.57	Å³ per atom
# energy	-4.48	eV per atom
# energy of formation	-49.4	kJ per mole of atoms

6.
# PBE RuCl2F3, optimized geometry
data_RuCl2F3
_chemical_formula_sum 'Ru2 Cl4 F6'
_space_group_name_H-M_alt 'P 1'
_space_group_IT_number 1
_space_group_name_Hall 'P 1'
_cell_length_a 6.3456
_cell_length_b 6.3456
_cell_length_c 11.9106
_cell_angle_alpha 47.05
_cell_angle_beta 47.05
_cell_angle_gamma 73.29
loop_
_atom_site_label
_atom_site_fract_x
_atom_site_fract_y
_atom_site_fract_z
Cl1 0.4361 0.1302 0.2465
Cl2 0.1302 0.4361 0.7465
Ru1 0.6295 0.3705 0.2500
F1 0.9127 0.7065 0.9402
F2 0.7065 0.9127 0.4402
Cl3 0.8698 0.5639 0.2535
F3 0.3834 0.6166 0.2500
F4 0.0873 0.2935 0.0598
F5 0.6166 0.3834 0.7500
Cl4 0.5639 0.8698 0.7535
Ru2 0.3705 0.6295 0.7500
F6 0.2935 0.0873 0.5598
# SG	C2/c
# spin magnetization	0.420	μB per atom
# volume	20.22	Å³ per atom
# energy	-4.15	eV per atom
# uncorrected formation energy	-1.055	eV per atom

7.
# PBE CsK2TlAu, optimized geometry
data_CsK2TlAu
_chemical_formula_sum 'Cs1 K2 Tl1 Au1'
_space_group_name_H-M_alt 'P 1'
_space_group_IT_number 1
_space_group_name_Hall 'P 1'
_cell_length_a 6.7591
_cell_length_b 6.7591
_cell_length_c 5.7802
_cell_angle_alpha 90.00
_cell_angle_beta 90.00
_cell_angle_gamma 90.00
loop_
_atom_site_label
_atom_site_fract_x
_atom_site_fract_y
_atom_site_fract_z
Tl1 0.0000 0.0000 0.0000
K1 0.0000 0.5000 0.0000
Au1 0.0000 0.0000 0.5000
Cs1 0.5000 0.5000 0.5000
K2 0.5000 0.0000 0.0000
# SG	P4/mmm
# energy relative to the lowest polymorph listed for this composition	112	meV/atom
# spin magnetization	0.000	μB per atom
# volume	52.81	Å³ per atom
# energy	-1.72	eV per atom
# energy of formation	2.2	kJ per mole of atoms

8.
# PBE Li3H4Pd4, optimized geometry
data_Li3H4Pd4
_chemical_formula_sum 'Li3 H4 Pd4'
_space_group_name_H-M_alt 'P 1'
_space_group_IT_number 1
_space_group_name_Hall 'P 1'
_cell_length_a 4.6210
_cell_length_b 5.7884
_cell_length_c 7.1734
_cell_angle_alpha 133.76
_cell_angle_beta 117.79
_cell_angle_gamma 79.93
loop_
_atom_site_label
_atom_site_fract_x
_atom_site_fract_y
_atom_site_fract_z
Pd1 0.4971 0.6740 0.7602
Pd2 0.5029 0.3260 0.2398
H1 0.5773 0.2707 0.4841
H2 0.6768 0.4448 0.1344
Pd3 0.5912 0.8503 0.2752
H3 0.3232 0.5552 0.8656
H4 0.4227 0.7293 0.5159
Li1 0.0000 0.5000 0.0000
Li2 0.9519 0.8597 0.7107
Pd4 0.4088 0.1497 0.7248
Li3 0.0481 0.1403 0.2893
# SG	P-1
# energy relative to the lowest polymorph listed for this composition	0	meV/atom
# spin magnetization	0.000	μB per atom
# volume	10.84	Å³ per atom
# energy	-3.94	eV per atom